(w)
Material: YFeAs2
Method: DFT, SCAN
State: PBEsol geometry

Cell lengths 6.542, 6.542, 6.542 Å; angles 90.00, 90.00, 90.00 degrees
Space group Fm-3m (No. 225)
One atom of each set of equivalent atoms:
Y 0.000 0.000 0.000 x4
Fe 0.000 0.000 0.500 x4
As 0.250 0.250 0.250 x8

(x)
Material: YFeAs2
Method: DFT, SCAN
State: PBEsol geometry

Cell lengths 3.141, 3.651, 12.422 Å; angles 90.00, 90.00, 90.00 degrees
Space group Imm2 (No. 44)
One atom of each set of equivalent atoms:
Y 0.000 0.000 0.000 x2
Fe 0.000 0.500 0.260 x2
As 0.000 0.000 0.618 x2
As 0.000 0.500 0.825 x2

Least stable of them? (w).

(w)
Material: GaAsSe2N
Method: DFT, SCAN
State: PBEsol geometry

Cell lengths 4.297, 4.297, 4.491 Å; angles 90.00, 90.00, 90.00 degrees
Space group P4/mmm (No. 123)
One atom of each set of equivalent atoms:
Ga 0.000 0.000 0.000 x1
As 0.500 0.500 0.000 x1
Se 0.000 0.500 0.500 x2
N 0.500 0.500 0.500 x1

(x)
Material: GaAsSe2N
Method: DFT, SCAN
State: PBEsol geometry

Cell lengths 4.912, 4.912, 4.876 Å; angles 90.00, 90.00, 90.00 degrees
Space group P4/mmm (No. 123)
One atom of each set of equivalent atoms:
Ga 0.000 0.000 0.000 x1
As 0.000 0.000 0.500 x1
Se 0.000 0.500 0.000 x2
N 0.500 0.500 0.500 x1

Least stable of them? (x).

(w)
Material: NaGaAs3
Method: DFT, SCAN
State: PBEsol geometry

Cell lengths 4.949, 4.949, 4.949 Å; angles 90.00, 90.00, 90.00 degrees
Space group Pm-3m (No. 221)
One atom of each set of equivalent atoms:
Na 0.000 0.000 0.000 x1
Ga 0.500 0.500 0.500 x1
As 0.000 0.000 0.500 x3

(x)
Material: NaGaAs3
Method: DFT, SCAN
State: PBEsol geometry

Cell lengths 4.942, 4.942, 4.942 Å; angles 90.00, 90.00, 90.00 degrees
Space group Pm-3m (No. 221)
One atom of each set of equivalent atoms:
Na 0.000 0.000 0.000 x1
Ga 0.500 0.500 0.500 x1
As 0.000 0.500 0.500 x3

Least stable of them? (w).

(w)
Material: GaAs2SeS
Method: DFT, SCAN
State: PBEsol geometry

Cell lengths 4.873, 4.873, 4.709 Å; angles 90.00, 90.00, 90.00 degrees
Space group P4/mmm (No. 123)
One atom of each set of equivalent atoms:
Ga 0.000 0.000 0.000 x1
As 0.000 0.500 0.000 x2
Se 0.000 0.000 0.500 x1
S 0.500 0.500 0.500 x1

(x)
Material: GaAs2SeS
Method: DFT, SCAN
State: PBEsol geometry

Cell lengths 4.737, 4.737, 4.927 Å; angles 90.00, 90.00, 90.00 degrees
Space group P4/mmm (No. 123)
One atom of each set of equivalent atoms:
Ga 0.000 0.000 0.000 x1
As 0.000 0.500 0.500 x2
Se 0.500 0.500 0.000 x1
S 0.500 0.500 0.500 x1

Least stable of them? (w).

(w)
Material: NaGeAs2Se
Method: DFT, SCAN
State: PBEsol geometry

Cell lengths 4.894, 4.894, 5.005 Å; angles 90.00, 90.00, 90.00 degrees
Space group P4/mmm (No. 123)
One atom of each set of equivalent atoms:
Na 0.000 0.000 0.000 x1
Ge 0.500 0.500 0.500 x1
As 0.000 0.500 0.000 x2
Se 0.000 0.000 0.500 x1

(x)
Material: NaGeAs2Se
Method: DFT, SCAN
State: PBEsol geometry

Cell lengths 4.938, 4.938, 5.135 Å; angles 90.00, 90.00, 90.00 degrees
Space group P4/mmm (No. 123)
One atom of each set of equivalent atoms:
Na 0.000 0.000 0.000 x1
Ge 0.500 0.500 0.500 x1
As 0.000 0.500 0.500 x2
Se 0.500 0.500 0.000 x1

Least stable of them? (w).

(w)
Material: SiGeAs2
Method: DFT, SCAN
State: PBEsol geometry

Cell lengths 6.363, 6.363, 8.598 Å; angles 90.00, 90.00, 90.00 degrees
Space group I-42d (No. 122)
One atom of each set of equivalent atoms:
Si 0.000 0.000 0.000 x4
Ge 0.000 0.000 0.500 x4
As 0.221 0.750 0.125 x8

(x)
Material: SiGeAs2
Method: DFT, SCAN
State: PBEsol geometry

Cell lengths 6.520, 6.520, 6.520 Å; angles 90.00, 90.00, 90.00 degrees
Space group Fm-3m (No. 225)
One atom of each set of equivalent atoms:
Si 0.000 0.000 0.000 x4
Ge 0.000 0.000 0.500 x4
As 0.250 0.250 0.250 x8

Least stable of them? (x).